Below is a relaxed structure of KRhPb2O8, with properties calculated at the PBE level.

Summary:
The magnetic moment comes out at 0.065 μB/atom. The density of states at the Fermi level comes out at 7.2 states/eV/cell. For the total energy, the calculation gives -5.2182 eV/atom.

abc: 4.405 5.307 7.488
angles: 89.98 89.89 89.20
Positions (direct):
1 K 0.000 0.000 0.000
2 Rh 0.000 0.000 0.500
3 Pb 0.500 0.500 0.276
4 Pb 0.500 0.500 0.724
5 O 0.160 0.469 0.000
6 O 0.226 0.324 0.500
7 O 0.257 0.873 0.691
8 O 0.259 0.874 0.309
9 O 0.741 0.126 0.691
10 O 0.743 0.127 0.309
11 O 0.774 0.676 0.500
12 O 0.840 0.531 0.000

Below is a relaxed structure of Nd4Dy3Er2, with properties calculated at the PBE level.

Summary:
The magnetic moment comes out at 0.000 μB/atom. The calculation puts the calculated formation energy at 0.8 eV/f.u. The density of states at the Fermi level comes out at 12.6 states/eV/cell.

abc: 6.679 6.679 14.395
angles: 114.89 114.89 31.69
Positions (direct):
1 Nd 0.217 0.217 0.108
2 Nd 0.278 0.278 0.628
3 Nd 0.722 0.722 0.372
4 Nd 0.783 0.783 0.892
5 Dy 0.492 0.492 0.112
6 Dy 0.500 0.500 0.500
7 Dy 0.508 0.508 0.888
8 Er 0.048 0.048 0.709
9 Er 0.952 0.952 0.291

Below is a relaxed structure of CsCe2Sm2O7, with properties calculated at the PBE level.

Summary:
The magnetic moment comes out at 0.058 μB/atom. The density of states at the Fermi level comes out at 5.2 states/eV/cell. For the total energy, the calculation gives -7.7768 eV/atom.

abc: 10.447 10.447 10.447
angles: 154.01 154.01 37.08
Positions (direct):
1 Cs 0.000 0.000 0.000
2 Ce 0.390 0.390 0.000
3 Ce 0.610 0.610 0.000
4 Sm 0.250 0.750 0.500
5 Sm 0.750 0.250 0.500
6 O 0.132 0.632 0.500
7 O 0.267 0.267 0.000
8 O 0.368 0.868 0.500
9 O 0.500 0.500 0.000
10 O 0.632 0.132 0.500
11 O 0.733 0.733 0.000
12 O 0.868 0.368 0.500

Below is a relaxed structure of Tb5In4Ag, with properties calculated at the PBE level.

Summary:
The magnetic moment comes out at 0.000 μB/atom. The calculation puts the calculated formation energy at -4.5 eV/f.u. The density of states at the Fermi level comes out at 6.5 states/eV/cell.

abc: 3.594 3.594 20.399
angles: 90.00 90.00 90.00
Positions (direct):
1 Tb 0.000 0.000 0.000
2 Tb 0.000 0.000 0.205
3 Tb 0.000 0.000 0.409
4 Tb 0.000 0.000 0.591
5 Tb 0.000 0.000 0.795
6 In 0.500 0.500 0.103
7 In 0.500 0.500 0.308
8 In 0.500 0.500 0.692
9 In 0.500 0.500 0.897
10 Ag 0.500 0.500 0.500